A relaxed Pu6Mg15Tl8 crystal. Source: the Alexandria database, functional PBE-GGA.

The energy relative to the elements comes out at 0.069 eV/atom. The total energy is -4.37 eV/atom. The value obtained for the magnetic moment is 38.829 μB per formula unit.

Lattice parameters (Å, degrees): 14.368 14.368 14.368 90.00 90.00 90.00
Space group Fm-3m (No. 225)
Inequivalent atoms, fractional coordinates:
Pu1 0.000 0.000 0.184 (multiplicity 24)
Mg1 0.000 0.000 0.500 (multiplicity 4)
Mg2 0.000 0.250 0.250 (multiplicity 24)
Mg3 0.167 0.167 0.167 (multiplicity 32)
Tl1 0.123 0.123 0.377 (multiplicity 32)